No. 1
TiP3Br | PBE | relaxed

## Properties
Raw total energy, eV per cell: -24.21
Energy above the lowest structure with this stoichiometry, meV/atom: 0
Energy relative to the elements, uncorrected, eV/atom: 0.32

Cell: 4.7447 4.7447 4.7447 Å, 90.00 90.00 90.00°
Closest atoms and distances in Å follow each position.
Fractional coordinates of all 5 atoms:
Ti 0.0000 0.0000 0.0000  6 P 2.37
P 0.0000 0.0000 0.5000  2 Ti 2.37
P 0.0000 0.5000 0.0000  2 Ti 2.37
P 0.5000 0.0000 0.0000  2 Ti 2.37
Br 0.5000 0.5000 0.5000  12 P 3.35

No. 2
Y4AlSe3 | PBE | relaxed

## Properties
Raw total energy, eV per cell: -51.37
Energy relative to the elements, uncorrected, eV/atom: -1.42

Cell: 7.2441 7.2441 4.0319 Å, 90.00 90.00 108.61°
Closest atoms and distances in Å follow each position.
Fractional coordinates of all 8 atoms:
Y 0.2457 0.7543 0.0000  1 Al 2.89, 5 Se 2.92-2.99
Y 0.2499 0.2499 0.5000  2 Al 2.92, 4 Se 2.92-2.94
Y 0.7501 0.7501 0.5000  2 Al 2.92, 4 Se 2.92-2.94
Y 0.7543 0.2457 0.0000  1 Al 2.89, 5 Se 2.92-2.99
Al 0.0000 0.0000 0.0000  6 Y 2.89-2.92
Se 0.0000 0.5000 0.5000  6 Y 2.92-2.94
Se 0.5000 0.0000 0.5000  6 Y 2.92-2.94
Se 0.5000 0.5000 0.0000  6 Y 2.92-2.99